SrMnP2O: optimized geometry, PBE with a Hubbard U.

POSCAR file:
```
SrMnP2O
1.0
4.955 0.000 0.000
0.000 4.955 0.000
0.000 0.000 3.901
O P Sr Mn
1 2 1 1
Direct
0.000 0.000 0.500
0.500 0.000 0.000
0.000 0.500 0.000
0.500 0.500 0.500
0.000 0.000 0.000
```

Values from the calculation:
- DOS at the Fermi energy (states/eV/cell) = 4.18
- total energy (eV per atom) = -5.403
- energy above the lowest structure with this stoichiometry (eV per atom) = 0.000
- SG = P4/mmm (123)